Entry 1:
## Tb2ErU (PBE)

Data for Tb2ErU after structural relaxation.

Cell and atoms, written as CIF:
```
data_Tb2ErU
_cell_length_a 3.2930
_cell_length_b 3.2930
_cell_length_c 36.5570
_cell_angle_alpha 90.00
_cell_angle_beta 90.00
_cell_angle_gamma 120.00
_space_group_name_H-M_alt 'R -3 m'
_space_group_IT_number 166
_space_group_name_Hall '-R 3 2"'
loop_
_atom_site_label
_atom_site_fract_x
_atom_site_fract_y
_atom_site_fract_z
Tb1 0.0000 0.0000 0.0876
Er1 0.0000 0.0000 0.5000
U1 0.0000 0.0000 0.0000
```

Summary:
Magnetic moment in Bohr magnetons per cell: 6.30
Formation energy in eV/atom: 0.44

=====

Entry 2:
## TbErV (PBE)

Data for TbErV after structural relaxation.

Cell and atoms, written as CIF:
```
data_TbErV
_cell_length_a 10.950
_cell_length_b 5.272
_cell_length_c 6.551
_cell_angle_alpha 90.00
_cell_angle_beta 126.60
_cell_angle_gamma 90.00
_space_group_name_H-M_alt 'C 1 m 1'
_space_group_IT_number 8
loop_
_space_group_symop_operation_xyz
'x,y,z'
'x,-y,z'
'x+1/2,y+1/2,z'
'x+1/2,-y+1/2,z'
loop_
_atom_site_label
_atom_site_fract_x
_atom_site_fract_y
_atom_site_fract_z
Tb1 0.000 0.000 0.000
Tb2 0.139 0.500 0.392
Er1 0.140 0.500 0.891
Er2 0.279 0.000 0.783
V1 0.339 0.000 0.341
V2 0.439 0.500 0.442
```

Summary:
Magnetic moment in Bohr magnetons per cell: 9.71
Formation energy in eV/atom: 0.38

=====

Entry 3:
## Tb2ErV (PBE)

Data for Tb2ErV after structural relaxation.

Cell and atoms, written as CIF:
```
data_Tb2ErV
_cell_length_a 3.3701
_cell_length_b 3.3701
_cell_length_c 34.2102
_cell_angle_alpha 90.00
_cell_angle_beta 90.00
_cell_angle_gamma 120.00
_space_group_name_H-M_alt 'R -3 m'
_space_group_IT_number 166
_space_group_name_Hall '-R 3 2"'
loop_
_atom_site_label
_atom_site_fract_x
_atom_site_fract_y
_atom_site_fract_z
Tb1 0.0000 0.0000 0.0823
Er1 0.0000 0.0000 0.5000
V1 0.0000 0.0000 0.0000
```

Summary:
Magnetic moment in Bohr magnetons per cell: 9.54
Formation energy in eV/atom: 0.60

=====

Entry 4:
## TbErW4 (PBE)

Data for TbErW4 after structural relaxation.

Cell and atoms, written as CIF:
```
data_TbErW4
_cell_length_a 7.833
_cell_length_b 7.833
_cell_length_c 7.833
_cell_angle_alpha 90.00
_cell_angle_beta 90.00
_cell_angle_gamma 90.00
_space_group_name_H-M_alt 'F -4 3 m'
_space_group_IT_number 216
_space_group_name_Hall 'F -4 2 3'
loop_
_atom_site_label
_atom_site_fract_x
_atom_site_fract_y
_atom_site_fract_z
Tb1 0.000 0.000 0.000
Er1 0.250 0.250 0.750
W1 0.125 0.125 0.375
```

Summary:
Magnetic moment in Bohr magnetons per cell: 0.00
Formation energy in eV/atom: 0.14